## Ni2AgIO (PBE with a Hubbard U)

Data for a geometry-optimized Ni2AgIO structure.

Summary:
The calculation puts the energy at -2.83 eV/atom.

abc: 4.155 4.155 4.868
angles: 90.00 90.00 90.00
Space group P4/mmm (No. 123)
Inequivalent atoms, fractional coordinates:
Ni  0.000  0.500  0.000 [2 per cell]
Ag  0.000  0.000  0.500 [1 per cell]
I  0.500  0.500  0.500 [1 per cell]
O  0.000  0.000  0.000 [1 per cell]